Record 1
An optimized crystal structure of HgTeBr2. Source: Alexandria via LeMat-Bulk, functional GGA-PBE.

Cell and atoms, written as POSCAR:
```
HgTeBr2
1.0
2.707 0.000 0.000
0.000 7.907 0.000
0.000 0.000 7.907
Hg Te Br
1 1 2
Direct
0.500 0.500 0.000
0.500 0.000 0.500
0.000 0.500 0.500
0.000 0.000 0.000
```

Computed properties:
Raw total energy in eV/f.u.: -6.38
Symmetry: No. 123
Size of the total moment in μB per atom: 0.00
ΔE to the lowest computed polymorph in eV/atom: 0.3123
Energy relative to the elements, uncorrected in meV/atom: 102
N(E_F) in states/eV per cell: 1.7

=====

Record 2
An optimized crystal structure of Na2TaMn2Te6. Source: Alexandria via LeMat-Bulk, functional GGA-PBE.

Cell and atoms, written as POSCAR:
```
Na2TaMn2Te6
1.0
-5.850 -3.796 0.084
5.910 -2.837 2.381
-1.607 4.849 6.200
Te Mn Na Ta
6 2 2 1
Direct
0.401 0.070 0.708
0.599 0.930 0.292
0.267 0.267 0.298
0.070 0.401 0.708
0.930 0.599 0.292
0.733 0.733 0.702
0.670 0.330 0.500
0.330 0.670 0.500
0.165 0.835 0.000
0.835 0.165 0.000
0.000 0.000 0.500
```

Computed properties:
Raw total energy in eV/f.u.: -55.78
Symmetry: No. 12
Size of the total moment in μB per atom: 0.82
Energy relative to the elements, uncorrected in meV/atom: -373
N(E_F) in states/eV per cell: 4.5

=====

Record 3
An optimized crystal structure of YHgBr4. Source: Alexandria via LeMat-Bulk, functional GGA-PBE.

Cell and atoms, written as POSCAR:
```
YHgBr4
1.0
0.000 4.445 4.445
4.445 0.000 4.445
4.445 4.445 0.000
Br Hg Y
4 1 1
Direct
0.375 0.375 0.375
0.375 0.876 0.375
0.876 0.375 0.375
0.375 0.375 0.876
0.750 0.750 0.750
0.000 0.000 0.000
```

Computed properties:
Raw total energy in eV/f.u.: -13.99
Symmetry: No. 216
Size of the total moment in μB per atom: 0.09
Energy relative to the elements, uncorrected in meV/atom: -88
N(E_F) in states/eV per cell: 6.5

=====

Record 4
An optimized crystal structure of K4LiRe3O12. Source: Alexandria via LeMat-Bulk, functional GGA-PBE.

Cell and atoms, written as POSCAR:
```
K4LiRe3O12
1.0
-3.963 -0.616 -5.640
-1.633 -4.977 4.522
-1.064 6.192 2.901
K O Re Li
4 12 3 1
Direct
0.000 0.000 0.500
0.500 0.500 0.500
0.000 0.500 0.000
0.500 0.000 0.000
0.271 0.000 0.271
0.271 0.271 0.000
0.500 0.250 0.750
0.250 0.750 0.500
0.729 0.729 0.000
0.000 0.271 0.271
0.750 0.250 0.500
0.250 0.500 0.750
0.000 0.729 0.729
0.500 0.750 0.250
0.750 0.500 0.250
0.729 0.000 0.729
0.000 0.500 0.500
0.500 0.500 0.000
0.500 0.000 0.500
0.000 0.000 0.000
```

Computed properties:
Raw total energy in eV/f.u.: -137.01
Symmetry: No. 229
Size of the total moment in μB per atom: 0.10
Energy relative to the elements, uncorrected in meV/atom: -1693
N(E_F) in states/eV per cell: 9.0

=====

Record 5
An optimized crystal structure of Ti4In2Au. Source: Alexandria via LeMat-Bulk, functional GGA-PBE.

Cell and atoms, written as POSCAR:
```
Ti4In2Au
1.0
2.979 0.000 0.000
0.000 4.665 0.000
0.000 -2.332 10.006
Ti In Au
4 2 1
Direct
0.000 0.920 0.840
0.500 0.621 0.242
0.000 0.080 0.160
0.500 0.379 0.758
0.500 0.792 0.585
0.500 0.208 0.415
0.000 0.500 0.000
```

Computed properties:
Raw total energy in eV/f.u.: -39.70
Symmetry: No. 65
Size of the total moment in μB per atom: 0.00
Calculated formation energy in kcal/mol of atoms: 2.083
N(E_F) in states/eV per cell: 7.9

=====

Record 6
An optimized crystal structure of Sr2UInO6. Source: Alexandria via LeMat-Bulk, functional GGA-PBE.

Cell and atoms, written as POSCAR:
```
Sr2UInO6
1.0
0.000 4.275 4.275
4.275 0.000 4.275
4.275 4.275 0.000
O Sr In U
6 2 1 1
Direct
0.751 0.249 0.751
0.751 0.751 0.249
0.751 0.249 0.249
0.249 0.751 0.751
0.249 0.249 0.751
0.249 0.751 0.249
0.750 0.750 0.750
0.250 0.250 0.250
0.500 0.500 0.500
0.000 0.000 0.000
```

Computed properties:
Raw total energy in eV/f.u.: -74.08
Symmetry: No. 225
Size of the total moment in μB per atom: 0.10
ΔE to the lowest computed polymorph in eV/atom: 0.0866
Energy relative to the elements, uncorrected in meV/atom: -2694